No. 1
Compound: Mg2MnSb
Source: Alexandria via LeMat-Bulk
Functional: PBE-GGA
Structure: relaxed

a = 9.346 Å, b = 9.346 Å, c = 7.046 Å
α = 48.46°, β = 48.46°, γ = 90.00°
Sites, in units of the cell vectors:
Mg: 0.482 0.125 0.250
Mn: 0.250 0.750 0.500
Mn: 0.500 0.500 0.000
Mg: 0.375 0.518 0.750
Mg: 0.268 0.625 0.250
Mg: 0.875 0.732 0.750
Sb: 0.750 0.250 0.500
Sb: 0.000 0.000 0.000

Computed properties:
Its space group is I-42d. The value obtained for the raw formation energy is 0.52 eV per atom. Its magnetization is 0.007 μB per atom. As for the electronic total energy: -0.132 Ha/atom.

***

No. 2
Compound: Y2WSe
Source: Alexandria via LeMat-Bulk
Functional: PBE-GGA
Structure: relaxed

a = 3.573 Å, b = 3.573 Å, c = 7.087 Å
α = 90.00°, β = 90.00°, γ = 89.94°
Sites, in units of the cell vectors:
Se: 0.500 0.500 0.250
Y: 0.000 0.000 0.997
Y: 0.000 0.000 0.503
W: 0.500 0.500 0.750

Computed properties:
Its space group is P4/mmm. The value obtained for the raw formation energy is -0.31 eV per atom. Its magnetization is 0.000 μB per atom. As for the electronic total energy: -0.281 Ha/atom.

***

No. 3
Compound: Zr2CuAu
Source: Alexandria via LeMat-Bulk
Functional: PBE-GGA
Structure: relaxed

a = 4.739 Å, b = 3.159 Å, c = 5.053 Å
α = 90.03°, β = 90.00°, γ = 90.00°
Sites, in units of the cell vectors:
Cu: 0.500 0.625 0.811
Zr: 0.500 0.125 0.336
Zr: 0.000 0.125 0.913
Au: 0.000 0.625 0.440

Computed properties:
Its space group is Pmm2. The value obtained for the energy of formation from the pure elements is -0.2808 eV/atom. Its magnetization is 0.000 μB per atom. As for the electronic total energy: -0.235 Ha/atom.

***

No. 4
Compound: NbAsCl2
Source: Alexandria via LeMat-Bulk
Functional: PBE-GGA
Structure: relaxed

a = 4.629 Å, b = 4.629 Å, c = 4.629 Å
α = 60.00°, β = 60.00°, γ = 60.00°
Sites, in units of the cell vectors:
Cl: 0.250 0.250 0.250
As: 0.000 0.000 0.000
Cl: 0.750 0.750 0.750
Nb: 0.500 0.500 0.500

Computed properties:
Its space group is Fm-3m. The value obtained for the raw formation energy is 0.31 eV per atom. For the relative energy among the computed polymorphs, the calculation gives 753 meV/atom. Its magnetization is 0.000 μB per atom. As for the electronic total energy: -0.158 Ha/atom.